Record 1
VASP calculation (PBE-GGA) on crystalline Tm3Pb at its relaxed geometry.

## Properties
Energy of formation from the pure elements = -17.28 kJ/mol of atoms
Calculated density = 10.36 Mg/m³
Total magnetic moment = 0.000 μB per formula unit
Space-group type = Pmm2
Crystal system = orthorhombic

Cell lengths 3.497, 5.485, 5.967 Å; angles 90.00, 90.00, 90.00 degrees
Sites, in units of the cell vectors:
Tm 0.500 0.500 0.840
Tm 0.500 0.000 0.498
Tm 0.000 0.000 0.002
Pb 0.000 0.500 0.327

Record 2
VASP calculation (PBE-GGA) on crystalline TlPdI2N at its relaxed geometry.

## Properties
Uncorrected formation energy = 0.327 eV per atom
Calculated density = 7.00 Mg/m³
E above lowest polymorph = 0.0 meV per atom
Total magnetic moment = 0.000 μB per formula unit
Space-group type = P4/mmm
Crystal system = tetragonal

Cell lengths 5.990, 5.990, 3.824 Å; angles 90.00, 90.00, 90.00 degrees
Sites, in units of the cell vectors:
N 0.000 0.000 0.500
Tl 0.500 0.500 0.500
Pd 0.000 0.000 0.000
I 0.500 0.000 0.000
I 0.000 0.500 0.000

Q: Among the records above, which one has the lowest calculated density?
A: TlPdI2N

Q: Number 2 is which compound?
A: TlPdI2N